[1]
## GaCoHgOs (PBE)

Data for GaCoHgOs after structural relaxation.

Summary:
The crystal system is cubic. As for the space-group type: F-43m. Its total energy is -4.877 eV/atom.

abc: 4.4046 4.4046 4.4046
angles: 60.00 60.00 60.00
Fractional coordinates of all 4 atoms:
Ga1 0.0000 0.0000 0.0000
Co1 0.2500 0.2500 0.2500
Hg1 0.5000 0.5000 0.5000
Os1 0.7500 0.7500 0.7500

=====

[2]
## GaCoHgPd (PBE)

Data for GaCoHgPd after structural relaxation.

Summary:
The crystal system is cubic. As for the space-group type: F-43m. Its total energy is -3.895 eV/atom.

abc: 4.4414 4.4414 4.4414
angles: 60.00 60.00 60.00
Fractional coordinates of all 4 atoms:
Ga1 0.0000 0.0000 0.0000
Co1 0.2500 0.2500 0.2500
Hg1 0.5000 0.5000 0.5000
Pd1 0.7500 0.7500 0.7500

=====

Which formula does entry 1 have?
GaCoHgOs